Record 1
VASP calculation (PBE) on crystalline CeErTm2 at its relaxed geometry.

Computed properties:
- SG: Fm-3m
- Energy relative to the elements: 0.1474 eV/atom

Unit cell a=5.589 b=5.589 c=5.589 alpha=60.00 beta=60.00 gamma=60.00
Site moments in Bohr magnetons follow the coordinates.
Positions (direct):
Tm 0.750 0.750 0.750  0.04
Tm 0.250 0.250 0.250  0.04
Er 0.000 0.000 0.000  0.04
Ce 0.500 0.500 0.500  0.57

---

Record 2
VASP calculation (PBE) on crystalline Pa3TlSe6 at its relaxed geometry.

Computed properties:
- SG: P-3m1
- E_form (uncorrected): -1173 meV per atom

Unit cell a=4.128 b=4.128 c=21.888 alpha=90.00 beta=90.00 gamma=120.00
Site moments in Bohr magnetons follow the coordinates.
Positions (direct):
Pa 0.000 0.000 0.692  1.08
Pa 0.000 0.000 0.308  1.08
Pa 0.000 0.000 0.000  0.93
Se 0.333 0.667 0.764  -0.03
Se 0.667 0.333 0.928  -0.03
Se 0.667 0.333 0.236  -0.03
Se 0.333 0.667 0.072  -0.03
Se 0.667 0.333 0.616  -0.03
Se 0.333 0.667 0.384  -0.03
Tl 0.000 0.000 0.500  0.03

---

Record 3
VASP calculation (PBE) on crystalline InTeRu at its relaxed geometry.

Computed properties:
- SG: P3m1
- E_form (uncorrected): 61 meV per atom

Unit cell a=3.503 b=3.503 c=6.290 alpha=90.00 beta=90.00 gamma=120.00
Positions (direct):
Ru 0.667 0.333 0.351
In 0.000 0.000 0.039
Te 0.333 0.667 0.611

---

Record 4
VASP calculation (PBE) on crystalline Zr2AlSi at its relaxed geometry.

Computed properties:
- SG: P1
- E_form (uncorrected): -594 meV per atom

Unit cell a=5.355 b=5.452 c=5.526 alpha=105.60 beta=103.56 gamma=92.90
Positions (direct):
Zr 0.651 0.589 0.133
Zr 0.584 0.032 0.729
Zr 0.067 0.718 0.792
Zr 0.998 0.161 0.382
Si 0.467 0.067 0.204
Si 0.547 0.495 0.590
Al 0.187 0.680 0.317
Al 0.117 0.256 0.930

---

Record 5
VASP calculation (PBE) on crystalline Al3FeCo4 at its relaxed geometry.

Computed properties:
- SG: P4/mmm
- Energy relative to the elements: -0.4601 eV/atom

Unit cell a=2.853 b=2.853 c=11.414 alpha=90.00 beta=90.00 gamma=90.00
Site moments in Bohr magnetons follow the coordinates.
Positions (direct):
Co 0.000 0.000 0.375  0.16
Co 0.000 0.000 0.880  1.18
Co 0.000 0.000 0.120  1.18
Co 0.000 0.000 0.625  0.16
Al 0.500 0.500 0.500  -0.01
Al 0.500 0.500 0.249  -0.02
Al 0.500 0.500 0.751  -0.02
Fe 0.500 0.500 0.000  2.83

---

Record 6
VASP calculation (PBE) on crystalline LiTl2PSe4 at its relaxed geometry.

Computed properties:
- SG: I-4
- E_form (uncorrected): -456 meV per atom

Unit cell a=7.520 b=7.518 c=6.686 alpha=124.23 beta=124.23 gamma=90.01
Positions (direct):
Tl 0.486 0.986 0.971
Tl 0.236 0.236 0.472
Se 0.797 0.449 0.174
Se 0.023 0.095 0.770
Se 0.377 0.725 0.173
Se 0.747 0.675 0.769
P 0.736 0.736 0.472
Li 0.986 0.486 0.972

---

Record 7
VASP calculation (PBE) on crystalline LaTe2Mo at its relaxed geometry.

Computed properties:
- SG: Cm
- E_form (uncorrected): -329 meV per atom

Unit cell a=5.587 b=5.587 c=5.644 alpha=73.79 beta=73.79 gamma=38.41
Positions (direct):
Te 0.244 0.244 0.245
Te 0.030 0.030 0.925
La 0.489 0.489 0.456
Mo 0.737 0.737 0.875

---

Record 8
VASP calculation (PBE) on crystalline PmYEr3 at its relaxed geometry.

Computed properties:
- SG: P2_1/c
- Energy relative to the elements: 0.0063 eV/atom

Unit cell a=6.275 b=9.186 c=11.845 alpha=110.06 beta=90.00 gamma=90.00
Positions (direct):
Er 0.165 0.349 0.799
Er 0.665 0.151 0.701
Er 0.835 0.651 0.201
Er 0.835 0.251 0.000
Er 0.665 0.751 0.500
Er 0.333 0.650 0.702
Er 0.167 0.150 0.202
Er 0.335 0.849 0.299
Er 0.833 0.850 0.798
Er 0.335 0.249 0.500
Er 0.667 0.350 0.298
Er 0.165 0.749 0.000
Pm 0.832 0.449 0.599
Pm 0.668 0.949 0.099
Pm 0.168 0.551 0.401
Pm 0.332 0.051 0.901
Y 0.332 0.451 0.099
Y 0.668 0.549 0.901
Y 0.168 0.951 0.599
Y 0.832 0.049 0.401

---

Record 9
VASP calculation (PBE) on crystalline La5Bi2N2 at its relaxed geometry.

Computed properties:
- SG: C2/m
- E_form (uncorrected): -1009 meV per atom

Unit cell a=5.348 b=7.223 c=7.563 alpha=102.89 beta=90.00 gamma=111.73
Positions (direct):
Bi 0.412 0.823 0.692
Bi 0.588 0.177 0.308
La 0.849 0.697 0.413
La 0.670 0.339 0.913
La 0.000 0.000 0.000
La 0.151 0.303 0.587
La 0.330 0.661 0.087
N 0.836 0.672 0.109
N 0.164 0.328 0.891

---

Record 10
VASP calculation (PBE) on crystalline Cs2NaHg10 at its relaxed geometry.

Computed properties:
- SG: Pbam
- Energy relative to the elements: -0.1603 eV/atom

Unit cell a=6.761 b=13.279 c=10.900 alpha=90.00 beta=90.00 gamma=90.00
Positions (direct):
Hg 0.000 0.305 0.328
Hg 0.276 0.312 0.570
Hg 0.000 0.575 0.231
Hg 0.276 0.188 0.070
Hg 0.000 0.613 0.951
Hg 0.276 0.688 0.430
Hg 0.000 0.805 0.172
Hg 0.000 0.387 0.049
Hg 0.000 0.113 0.549
Hg 0.000 0.195 0.828
Hg 0.724 0.812 0.930
Hg 0.000 0.425 0.769
Hg 0.000 0.075 0.269
Hg 0.276 0.812 0.930
Hg 0.000 0.695 0.672
Hg 0.724 0.312 0.570
Hg 0.724 0.188 0.070
Hg 0.000 0.925 0.731
Hg 0.724 0.688 0.430
Hg 0.000 0.887 0.451
Cs 0.500 0.435 0.241
Cs 0.500 0.065 0.741
Cs 0.500 0.565 0.759
Cs 0.500 0.935 0.259
Na 0.000 0.000 0.000
Na 0.000 0.500 0.500

---

Record 11
VASP calculation (PBE) on crystalline TiAlAs2Br at its relaxed geometry.

Computed properties:
- SG: P4/mmm
- E_form (uncorrected): 399 meV per atom

Unit cell a=4.813 b=4.813 c=5.102 alpha=90.00 beta=90.00 gamma=90.00
Site moments in Bohr magnetons follow the coordinates.
Positions (direct):
Ti 0.500 0.500 0.500  1.65
As 0.500 0.000 0.000  -0.10
As 0.000 0.500 0.000  -0.10
Br 0.000 0.000 0.500  -0.06
Al 0.000 0.000 0.000  0.01

---

Record 12
VASP calculation (PBE) on crystalline LaTaMoOs at its relaxed geometry.

Computed properties:
- SG: P1
- Energy relative to the elements: 0.3310 eV/atom

Unit cell a=3.159 b=5.233 c=5.453 alpha=103.76 beta=106.92 gamma=90.07
Positions (direct):
Os 0.452 0.510 0.179
Mo 0.163 0.676 0.600
La 0.948 0.001 0.171
Ta 0.739 0.346 0.754